(1)
DFT (PBE-GGA) results for a relaxed Tc3BIr crystal.

Summary:
Uncorrected energy: -6.747 eV per atom
Magnetization: 3.54 μB per formula unit
Distance to the lowest polymorph of the same formula: 2480 meV/atom
Energy of formation from the pure elements: 2.58 eV/atom

abc: 4.7071 4.7071 4.7071
angles: 90.00 90.00 90.00
With the nearest neighbours (Å) after each atom.
Space group Pm-3m (No. 221)
Inequivalent atoms, fractional coordinates:
Tc 0.0000 0.0000 0.5000 x3  2 Ir 2.35
B 0.5000 0.5000 0.5000 x1  12 Tc 3.33
Ir 0.0000 0.0000 0.0000 x1  6 Tc 2.35

(2)
DFT (PBE-GGA) results for a relaxed TcB2Ir crystal.

Summary:
Uncorrected energy: -8.200 eV per atom
Magnetization: 0.00 μB per formula unit
Distance to the lowest polymorph of the same formula: 0 meV/atom
Energy of formation from the pure elements: -0.05 eV/atom

abc: 2.9399 2.9399 17.1761
angles: 90.00 90.00 120.00
With the nearest neighbours (Å) after each atom.
Space group R3m (No. 160, hexagonal axes)
Inequivalent atoms, fractional coordinates:
Tc 0.0000 0.0000 0.0000 x3  6 B 2.20-2.21
B 0.0000 0.0000 0.2517 x3  3 Tc 2.20, 3 Ir 2.25
B 0.0000 0.0000 0.4154 x3  3 Tc 2.21, 3 Ir 2.22
Ir 0.0000 0.0000 0.8321 x3  6 B 2.22-2.25

(3)
DFT (PBE-GGA) results for a relaxed VTcBIr crystal.

Summary:
Uncorrected energy: -8.814 eV per atom
Magnetization: 0.00 μB per formula unit
Energy of formation from the pure elements: -0.06 eV/atom

abc: 5.8025 5.8025 5.8025
angles: 90.00 90.00 90.00
With the nearest neighbours (Å) after each atom.
Space group F-43m (No. 216)
Inequivalent atoms, fractional coordinates:
V 0.0000 0.0000 0.0000 x4  4 Tc 2.51, 4 Ir 2.51
Tc 0.2500 0.2500 0.2500 x4  4 B 2.51, 4 V 2.51
B 0.0000 0.0000 0.5000 x4  4 Tc 2.51, 4 Ir 2.51
Ir 0.2500 0.2500 0.7500 x4  4 B 2.51, 4 V 2.51

(4)
DFT (PBE-GGA) results for a relaxed ZrTcBIr2 crystal.

Summary:
Uncorrected energy: -9.226 eV per atom
Magnetization: 0.00 μB per formula unit
Energy of formation from the pure elements: -0.56 eV/atom

abc: 4.1254 4.1254 4.2563
angles: 90.00 90.00 90.00
With the nearest neighbours (Å) after each atom.
Space group P4/mmm (No. 123)
Inequivalent atoms, fractional coordinates:
Zr 0.0000 0.0000 0.0000 x1  4 Tc 2.92, 8 Ir 2.96
Tc 0.5000 0.5000 0.0000 x1  2 B 2.13
B 0.5000 0.5000 0.5000 x1  4 Ir 2.06, 2 Tc 2.13
Ir 0.0000 0.5000 0.5000 x2  2 B 2.06

Look up the uncorrected energy of the second one. -8.200 eV per atom

Which formula does entry 1 have? Tc3BIr